# 1
Tb5Er3Sc4 after structural relaxation. Source: the Alexandria database, functional PBE.

Output
The density of states at the Fermi level is 22.12 states/eV/f.u. The formation energy from the elements is 0.303 eV/atom.

a b c (Å): 5.7209 6.5599 11.0750
angles (deg): 82.57 75.03 64.15
Last column: nearest neighbours and their distance in Å.
Atoms (fractional coordinates):
Er 0.2875 0.0035 0.4216  3 Er 3.06-3.32, 3 Tb 3.07-3.28, 3 Sc 3.28-3.29
Tb 0.7571 0.6680 0.8179  2 Er 3.18-3.56, 3 Sc 3.18-3.45
Sc 0.1286 0.7519 0.9909  2 Sc 2.94-3.18, 2 Tb 3.18-3.29
Er 0.7125 0.9965 0.5784  3 Er 3.06-3.32, 3 Tb 3.07-3.28, 3 Sc 3.28-3.29
Tb 0.2429 0.3320 0.1821  2 Er 3.18-3.56, 3 Sc 3.18-3.45
Tb 0.5561 0.7306 0.1572  1 Er 3.28, 5 Sc 3.29-3.46, 2 Tb 3.57-3.66
Tb 0.5000 0.5000 0.5000  4 Er 2.86-3.07
Sc 0.1280 0.0155 0.7285  2 Sc 3.18-3.33, 3 Er 3.28-3.29, 2 Tb 3.46
Tb 0.4439 0.2694 0.8428  1 Er 3.28, 5 Sc 3.29-3.46, 2 Tb 3.57-3.66
Er 0.0000 0.5000 0.5000  2 Tb 2.86, 2 Er 3.06
Sc 0.8714 0.2481 0.0091  2 Sc 2.94-3.18, 2 Tb 3.18-3.29
Sc 0.8720 0.9845 0.2715  2 Sc 3.18-3.33, 3 Er 3.28-3.29, 2 Tb 3.46

# 2
MnBi2Te after structural relaxation. Source: the Alexandria database, functional PBE.

Output
The density of states at the Fermi level is 5.29 states/eV/f.u. Its total energy is -4.59 eV per atom.

a b c (Å): 6.4593 6.4593 8.5021
angles (deg): 67.67 67.67 90.00
Last column: nearest neighbours and their distance in Å.
Atoms (fractional coordinates):
Te 0.0000 0.0000 0.0000  4 Bi 3.13
Te 0.7500 0.2500 0.5000  4 Bi 3.13
Mn 0.5000 0.5000 0.0000  4 Bi 2.71
Bi 0.8750 0.8166 0.7500  2 Mn 2.71
Mn 0.2500 0.7500 0.5000  4 Bi 2.71
Bi 0.5666 0.1250 0.2500  2 Mn 2.71
Bi 0.1834 0.6250 0.2500  2 Mn 2.71
Bi 0.3750 0.4334 0.7500  2 Mn 2.71

# 3
Ce5Mg2Ga after structural relaxation. Source: the Alexandria database, functional PBE.

Output
The density of states at the Fermi level is 21.18 states/eV/f.u. The formation energy from the elements is -0.103 eV/atom.

a b c (Å): 4.5734 4.5734 10.3025
angles (deg): 102.82 102.82 90.00
Last column: nearest neighbours and their distance in Å.
Atoms (fractional coordinates):
Ce 0.5000 0.5000 0.0000  4 Ga 3.23, 8 Ce 3.25
Mg 0.2507 0.2507 0.5015  4 Mg 3.23, 8 Ce 3.44-3.46
Mg 0.7493 0.7493 0.4985  4 Mg 3.23, 8 Ce 3.44-3.46
Ce 0.8819 0.3819 0.7638  6 Ce 3.23-3.25, 2 Ga 3.25, 4 Mg 3.44-3.46
Ce 0.1181 0.6181 0.2362  6 Ce 3.23-3.25, 2 Ga 3.25, 4 Mg 3.44-3.46
Ga 0.0000 0.0000 0.0000  12 Ce 3.23-3.25
Ce 0.6181 0.1181 0.2362  6 Ce 3.23-3.25, 2 Ga 3.25, 4 Mg 3.44-3.46
Ce 0.3819 0.8819 0.7638  6 Ce 3.23-3.25, 2 Ga 3.25, 4 Mg 3.44-3.46

# 4
Na2Bi3H2Rh5 after structural relaxation. Source: the Alexandria database, functional PBE.

Output
The density of states at the Fermi level is 11.08 states/eV/f.u. Its total energy is -4.91 eV per atom.

a b c (Å): 4.1734 4.1734 12.3651
angles (deg): 99.72 99.72 90.00
Last column: nearest neighbours and their distance in Å.
Atoms (fractional coordinates):
Na 0.6994 0.6994 0.3988  1 H 2.90, 4 Bi 3.10
Rh 0.5000 0.5000 0.0000  2 H 1.89
H 0.5786 0.5786 0.1572  5 Rh 1.89-2.09
Bi 0.1595 0.1595 0.3191  4 Rh 2.74
Rh 0.9147 0.4147 0.8293  2 H 2.09
Bi 0.0000 0.0000 0.0000  12 Rh 2.92-2.95
Na 0.3006 0.3006 0.6012  1 H 2.90, 4 Bi 3.10
Rh 0.4147 0.9147 0.8293  2 H 2.09
Rh 0.0853 0.5853 0.1707  2 H 2.09
Bi 0.8405 0.8405 0.6809  4 Rh 2.74
Rh 0.5853 0.0853 0.1707  2 H 2.09
H 0.4214 0.4214 0.8428  5 Rh 1.89-2.09

# 5
La6Si2OsCl3 after structural relaxation. Source: the Alexandria database, functional PBE.

Output
The density of states at the Fermi level is 7.70 states/eV/f.u. Its total energy is -5.90 eV per atom.

a b c (Å): 4.2726 8.8780 9.6846
angles (deg): 103.92 102.74 90.00
Last column: nearest neighbours and their distance in Å.
Atoms (fractional coordinates):
Cl 0.8267 0.1624 0.6533  6 La 3.17-3.24
La 0.6726 0.5742 0.3453  3 Si 2.96-2.99, 3 Cl 3.16-3.17
Os 0.5000 0.0000 0.0000  6 La 2.77-2.92
La 0.3489 0.9036 0.6978  1 Os 2.77, 2 Si 3.00
Si 0.1643 0.3392 0.3285  6 La 2.96-3.00
La 0.6511 0.0964 0.3022  1 Os 2.77, 2 Si 3.00
La 0.3274 0.4258 0.6547  3 Si 2.96-2.99, 3 Cl 3.16-3.17
La 0.0021 0.2247 0.0041  2 Os 2.92, 1 Si 2.98, 3 Cl 3.22-3.25
La 0.9979 0.7753 0.9959  2 Os 2.92, 1 Si 2.98, 3 Cl 3.22-3.25
Cl 0.5000 0.5000 0.0000  6 La 3.16-3.25
Cl 0.1733 0.8376 0.3467  6 La 3.17-3.24
Si 0.8357 0.6608 0.6715  6 La 2.96-3.00

# 6
AgSb after structural relaxation. Source: the Alexandria database, functional PBE.

Output
The density of states at the Fermi level is 0.25 states/eV/f.u. The calculation puts the relative energy among the computed polymorphs at 93.1 meV/atom.

a b c (Å): 10.7426 10.7426 4.2478
angles (deg): 90.00 90.00 90.00
Last column: nearest neighbours and their distance in Å.
Atoms (fractional coordinates):
Sb 0.3121 0.8262 0.5000  4 Ag 2.77-3.03, 2 Sb 2.99
Sb 0.6738 0.8121 0.0000  4 Ag 2.77-3.03, 2 Sb 2.99
Ag 0.9518 0.1812 0.5000  4 Sb 2.77-3.03, 2 Ag 2.85
Ag 0.1812 0.0482 0.5000  4 Sb 2.77-3.03, 2 Ag 2.85
Ag 0.6812 0.5482 0.0000  4 Sb 2.77-3.03, 2 Ag 2.85
Sb 0.3262 0.1879 0.0000  4 Ag 2.77-3.03, 2 Sb 2.99
Sb 0.6879 0.1738 0.5000  4 Ag 2.77-3.03, 2 Sb 2.99
Ag 0.8188 0.9518 0.5000  4 Sb 2.77-3.03, 2 Ag 2.85
Sb 0.8262 0.6879 0.5000  4 Ag 2.77-3.03, 2 Sb 2.99
Ag 0.5482 0.3188 0.0000  4 Sb 2.77-3.03, 2 Ag 2.85
Ag 0.4518 0.6812 0.0000  4 Sb 2.77-3.03, 2 Ag 2.85
Sb 0.8121 0.3262 0.0000  4 Ag 2.77-3.03, 2 Sb 2.99
Ag 0.3188 0.4518 0.0000  4 Sb 2.77-3.03, 2 Ag 2.85
Ag 0.0482 0.8188 0.5000  4 Sb 2.77-3.03, 2 Ag 2.85
Sb 0.1738 0.3121 0.5000  4 Ag 2.77-3.03, 2 Sb 2.99
Sb 0.1879 0.6738 0.0000  4 Ag 2.77-3.03, 2 Sb 2.99